This record from Alexandria describes a geometry-optimized Zr2BeSi structure. The functional is GGA-PBE.

The structure in POSCAR format:
```
Zr2BeSi
1.0
-4.967 -4.873 -1.497
0.807 -2.815 6.488
-4.106 -2.091 3.508
Be Si Zr
2 2 4
Cartesian
-2.080 -3.844 2.495
-2.690 -4.375 6.245
0.000 0.000 0.000
-5.576 -5.404 2.253
-3.987 -3.878 0.765
-1.186 -2.933 4.732
-4.632 -4.475 4.559
-6.726 -8.271 6.942
```

Summary:
Total energy: -52.625 eV/cell
SG: No. 122
Theoretical density: 5.02 g cm⁻³
Formation energy (no corrections): -0.02 eV/atom